Entry 1:
The following is a SCAN calculation of a PBEsol-optimized structure of ZrAg3, from Alexandria.

Output
* size of the total moment: 0.0000 μB per atom
* calculated density: 9.7 g/cm3
* formation energy: 22 meV per atom

CIF file:
```
data_ZrAg3
_chemical_formula_sum 'Zr3 Ag9'
_cell_length_a 2.9282
_cell_length_b 2.9282
_cell_length_c 28.7831
_cell_angle_alpha 90.00
_cell_angle_beta 90.00
_cell_angle_gamma 120.00
_space_group_name_H-M_alt 'R -3 m'
_space_group_IT_number 166
_space_group_name_Hall '-R 3 2"'
loop_
_atom_site_label
_atom_site_type_symbol
_atom_site_fract_x
_atom_site_fract_y
_atom_site_fract_z
_atom_site_occupancy
Zr1 Zr 0.0000 0.0000 0.0000 1
Ag1 Ag 0.0000 0.0000 0.2468 1
Ag2 Ag 0.0000 0.0000 0.5000 1
```

=====

Entry 2:
The following is a SCAN calculation of a PBEsol-optimized structure of CsAsOF4, from Alexandria.

Output
* size of the total moment: 0.0048 μB per atom
* calculated density: 4.1 g/cm3
* formation energy (no corrections): -2394 meV/atom

CIF file:
```
data_CsAsOF4
_chemical_formula_sum 'Cs4 As4 O4 F16'
_cell_length_a 5.312
_cell_length_b 6.304
_cell_length_c 14.914
_cell_angle_alpha 90.00
_cell_angle_beta 104.67
_cell_angle_gamma 90.00
_space_group_name_H-M_alt 'P 1 21/c 1'
_space_group_IT_number 14
loop_
_space_group_symop_operation_xyz
'x,y,z'
'-x,-y,-z'
'-x,y+1/2,-z+1/2'
'x,-y+1/2,z+1/2'
loop_
_atom_site_label
_atom_site_type_symbol
_atom_site_fract_x
_atom_site_fract_y
_atom_site_fract_z
_atom_site_occupancy
Cs1 Cs 0.146 0.126 0.151 1
As1 As 0.498 0.611 0.077 1
O1 O 0.301 0.092 0.505 1
F1 F 0.293 0.616 0.155 1
F2 F 0.298 0.193 0.855 1
F3 F 0.306 0.675 0.517 1
F4 F 0.313 0.583 0.845 1
```

=====

Entry 3:
The following is a SCAN calculation of a PBEsol-optimized structure of AlHgBr, from Alexandria.

Output
* size of the total moment: 0.0000 μB per atom
* energy relative to the lowest polymorph listed for this composition: 0 meV/atom
* calculated density: 6.8 g/cm3
* formation energy (no corrections): -95 meV/atom

CIF file:
```
data_AlHgBr
_chemical_formula_sum 'Al4 Hg4 Br4'
_cell_length_a 3.425
_cell_length_b 5.826
_cell_length_c 15.024
_cell_angle_alpha 90.00
_cell_angle_beta 90.00
_cell_angle_gamma 90.00
_space_group_name_H-M_alt 'F m m 2'
_space_group_IT_number 42
_space_group_name_Hall 'F 2 -2'
loop_
_atom_site_label
_atom_site_type_symbol
_atom_site_fract_x
_atom_site_fract_y
_atom_site_fract_z
_atom_site_occupancy
Al1 Al 0.000 0.000 0.000 1
Hg1 Hg 0.000 0.000 0.658 1
Br1 Br 0.000 0.000 0.374 1
```

=====

> Which value of calculated density does entry 3 give?

6.8 g/cm3

=====

> Which value of calculated density does entry 2 give?

4.1 g/cm3

=====

> Among the records above, which one has the lowest calculated density?

CsAsOF4

=====

> What is the calculated density in the second record?

4.1 g/cm3